First-principles (PBE) data for an optimized crystal structure of LaGa2CoPt, as listed in the Alexandria database.

Unit cell a=4.7702 b=5.5924 c=4.7702 alpha=90.00 beta=90.00 gamma=90.00
Last column: magnetic moment on the atom in μB.
Atoms (fractional coordinates):
Ga 0.0000 0.0000 0.5000  -0.02
Co 0.5000 0.5000 0.5000  1.75
Pt 0.0000 0.0000 0.0000  -0.05
La 0.0000 0.5000 0.0000  -0.11
Ga 0.5000 0.0000 0.0000  -0.02

magnetization = 1.28 μB/f.u.
energy of formation from the pure elements = 0.067 eV per atom
space-group type = No. 123
DOS(E_F) = 8.423 states/eV per cell

=====

First-principles (PBE) data for an optimized crystal structure of La2Ga6CoPt, as listed in the Alexandria database.

Unit cell a=6.6870 b=6.6870 c=6.6870 alpha=60.00 beta=60.00 gamma=90.00
Last column: magnetic moment on the atom in μB.
Atoms (fractional coordinates):
Ga 0.7598 0.7598 0.0000  0.01
Ga 0.7598 0.7598 0.4804  0.01
La 0.2500 0.7500 0.5000  0.07
Ga 0.7598 0.2402 0.0000  0.01
Ga 0.2402 0.2402 0.0000  0.01
Co 0.0000 0.0000 0.0000  0.41
Ga 0.2402 0.2402 0.5196  0.01
Pt 0.5000 0.5000 0.0000  0.04
Ga 0.2402 0.7598 0.0000  0.01
La 0.7500 0.2500 0.5000  0.07

magnetization = 0.93 μB/f.u.
energy of formation from the pure elements = -0.453 eV per atom
space-group type = No. 225
DOS(E_F) = 9.123 states/eV per cell

=====

First-principles (PBE) data for an optimized crystal structure of LaGa4CoPt2, as listed in the Alexandria database.

Unit cell a=4.2683 b=4.2683 c=9.2539 alpha=76.67 beta=76.67 gamma=60.00
Atoms (fractional coordinates):
Ga 0.8650 0.8650 0.4051
Pt 0.7672 0.7672 0.6985
Ga 0.5959 0.5959 0.2123
Ga 0.4041 0.4041 0.7877
Co 0.5000 0.5000 0.5000
La 0.0000 0.0000 0.0000
Pt 0.2328 0.2328 0.3015
Ga 0.1350 0.1350 0.5949

magnetization = 0.00 μB/f.u.
energy of formation from the pure elements = -0.644 eV per atom
space-group type = No. 166
DOS(E_F) = 5.107 states/eV per cell

=====

First-principles (PBE) data for an optimized crystal structure of LaGa2CoRe, as listed in the Alexandria database.

Unit cell a=4.5813 b=5.0071 c=4.5813 alpha=90.00 beta=90.00 gamma=90.00
Last column: magnetic moment on the atom in μB.
Atoms (fractional coordinates):
Ga 0.5000 0.0000 0.0000  0.01
La 0.0000 0.5000 0.0000  -0.05
Co 0.0000 0.0000 0.0000  0.29
Re 0.5000 0.5000 0.5000  2.48
Ga 0.0000 0.0000 0.5000  -0.01

magnetization = 3.10 μB/f.u.
energy of formation from the pure elements = 0.551 eV per atom
space-group type = No. 123
DOS(E_F) = 5.103 states/eV per cell

=====

First-principles (PBE) data for an optimized crystal structure of La2Ga6CoRh, as listed in the Alexandria database.

Unit cell a=6.6330 b=6.6330 c=6.6330 alpha=60.00 beta=60.00 gamma=90.00
Atoms (fractional coordinates):
La 0.2500 0.7500 0.5000
Ga 0.2426 0.2426 0.5147
Rh 0.5000 0.5000 0.0000
Ga 0.7574 0.7574 0.0000
Ga 0.2426 0.7574 0.0000
Ga 0.7574 0.2426 0.0000
Ga 0.2426 0.2426 0.0000
Co 0.0000 0.0000 0.0000
La 0.7500 0.2500 0.5000
Ga 0.7574 0.7574 0.4853

magnetization = 0.00 μB/f.u.
energy of formation from the pure elements = -0.501 eV per atom
space-group type = No. 225
DOS(E_F) = 7.885 states/eV per cell

=====

First-principles (PBE) data for an optimized crystal structure of LaGa3CoRh, as listed in the Alexandria database.

Unit cell a=5.9530 b=7.4762 c=6.5305 alpha=124.92 beta=90.00 gamma=90.00
Atoms (fractional coordinates):
Ga 0.5000 0.7541 0.0000
Ga 0.7500 0.7784 0.5569
Ga 0.0000 0.2459 0.0000
La 0.2500 0.7409 0.4818
Co 0.7500 0.9856 0.9711
Ga 0.5000 0.2459 0.0000
La 0.7500 0.2591 0.5182
Co 0.2500 0.0144 0.0289
Ga 0.2500 0.2216 0.4431
Rh 0.2500 0.4417 0.8833
Rh 0.7500 0.5583 0.1167
Ga 0.0000 0.7541 0.0000

magnetization = 0.00 μB/f.u.
energy of formation from the pure elements = -0.439 eV per atom
space-group type = No. 63
DOS(E_F) = 9.257 states/eV per cell

=====

First-principles (PBE) data for an optimized crystal structure of LaGa3CoRu, as listed in the Alexandria database.

Unit cell a=5.9632 b=7.5704 c=6.4714 alpha=125.80 beta=90.00 gamma=90.00
Atoms (fractional coordinates):
Ru 0.7500 0.5555 0.1109
Ga 0.2500 0.2197 0.4394
Ga 0.0000 0.7543 0.0000
Co 0.2500 0.0059 0.0117
Ga 0.7500 0.7803 0.5606
Ru 0.2500 0.4445 0.8891
Co 0.7500 0.9941 0.9883
La 0.7500 0.2632 0.5263
Ga 0.0000 0.2457 0.0000
Ga 0.5000 0.7543 0.0000
La 0.2500 0.7368 0.4737
Ga 0.5000 0.2457 0.0000

magnetization = 0.00 μB/f.u.
energy of formation from the pure elements = -0.332 eV per atom
space-group type = No. 63
DOS(E_F) = 5.573 states/eV per cell

=====

First-principles (PBE) data for an optimized crystal structure of La2Ga6CoRu, as listed in the Alexandria database.

Unit cell a=6.6248 b=6.6248 c=6.6248 alpha=60.00 beta=60.00 gamma=90.00
Atoms (fractional coordinates):
Ga 0.7571 0.2429 0.0000
Ga 0.2429 0.2429 0.5142
Ga 0.7571 0.7571 0.4858
Co 0.0000 0.0000 0.0000
Ru 0.5000 0.5000 0.0000
La 0.7500 0.2500 0.5000
Ga 0.7571 0.7571 0.0000
Ga 0.2429 0.7571 0.0000
La 0.2500 0.7500 0.5000
Ga 0.2429 0.2429 0.0000

magnetization = 0.00 μB/f.u.
energy of formation from the pure elements = -0.475 eV per atom
space-group type = No. 225
DOS(E_F) = 6.871 states/eV per cell

=====

First-principles (PBE) data for an optimized crystal structure of La3GaCoS7, as listed in the Alexandria database.

Unit cell a=10.0430 b=10.0430 c=6.2101 alpha=90.00 beta=90.00 gamma=120.00
Last column: magnetic moment on the atom in μB.
Atoms (fractional coordinates):
La 0.1509 0.3725 0.2026  0.01
S 0.9075 0.4283 0.9809  0.00
Ga 0.6667 0.3333 0.1252  0.00
Co 0.0000 0.0000 0.0369  0.80
S 0.8754 0.0874 0.2883  0.02
La 0.3725 0.2216 0.7026  0.01
S 0.7881 0.8754 0.7883  0.02
S 0.6667 0.3333 0.4890  0.00
S 0.4283 0.5208 0.4809  0.00
La 0.6275 0.7784 0.2026  0.01
Ga 0.3333 0.6667 0.6252  0.00
La 0.2216 0.8491 0.2026  0.01
S 0.2119 0.1246 0.2883  0.02
La 0.7784 0.1509 0.7026  0.01
S 0.4792 0.9075 0.4809  0.00
S 0.5208 0.0925 0.9809  0.00
Co 0.0000 0.0000 0.5369  0.80
S 0.0925 0.5717 0.4809  0.00
S 0.3333 0.6667 0.9890  0.00
S 0.1246 0.9126 0.7883  0.02
S 0.5717 0.4792 0.9809  0.00
S 0.9126 0.7881 0.2883  0.02
La 0.8491 0.6275 0.7026  0.01
S 0.0874 0.2119 0.7883  0.02

magnetization = 0.97 μB/f.u.
space-group type = No. 173
uncorrected formation energy = -1562 meV per atom
DOS(E_F) = 5.733 states/eV per cell

=====

First-principles (PBE) data for an optimized crystal structure of La2GaCoSb, as listed in the Alexandria database.

Unit cell a=5.2949 b=5.2949 c=4.6222 alpha=90.00 beta=90.00 gamma=90.00
Atoms (fractional coordinates):
La 0.5000 0.0000 0.0000
Sb 0.5000 0.5000 0.5000
Co 0.0000 0.0000 0.0000
La 0.0000 0.5000 0.0000
Ga 0.0000 0.0000 0.5000

magnetization = 0.00 μB/f.u.
space-group type = No. 123
uncorrected formation energy = -702 meV per atom
DOS(E_F) = 2.245 states/eV per cell

=====

First-principles (PBE) data for an optimized crystal structure of LaSc2GaCo, as listed in the Alexandria database.

Unit cell a=4.8649 b=4.8649 c=4.7463 alpha=90.00 beta=90.00 gamma=90.00
Last column: magnetic moment on the atom in μB.
Atoms (fractional coordinates):
Co 0.0000 0.0000 0.0000  0.01
La 0.5000 0.5000 0.5000  0.05
Sc 0.0000 0.5000 0.0000  0.04
Sc 0.5000 0.0000 0.0000  0.04
Ga 0.0000 0.0000 0.5000  0.00

magnetization = 0.24 μB/f.u.
energy of formation from the pure elements = -0.223 eV per atom
space-group type = No. 123
DOS(E_F) = 6.490 states/eV per cell

=====

First-principles (PBE) data for an optimized crystal structure of LaScGa2Co, as listed in the Alexandria database.

Unit cell a=4.6859 b=4.6859 c=4.7151 alpha=90.00 beta=90.00 gamma=90.00
Atoms (fractional coordinates):
Ga 0.0000 0.5000 0.0000
Co 0.0000 0.0000 0.0000
La 0.5000 0.5000 0.5000
Sc 0.0000 0.0000 0.5000
Ga 0.5000 0.0000 0.0000

magnetization = 0.00 μB/f.u.
energy of formation from the pure elements = -0.371 eV per atom
space-group type = No. 123
DOS(E_F) = 4.611 states/eV per cell